A relaxed Zr2NiCl crystal. Source: Alexandria via LeMat-Bulk, functional PBE.

Unit cell a=7.1165 b=7.1165 c=7.1165 alpha=132.71 beta=132.71 gamma=69.10
Element x y z (fractional)
Zr  0.0990  0.6250  0.9740
Zr  0.3750  0.3490  0.4740
Zr  0.6510  0.1250  0.0260
Zr  0.8750  0.9010  0.5260
Ni  0.0000  0.0000  0.0000
Ni  0.7500  0.2500  0.5000
Cl  0.2500  0.7500  0.5000
Cl  0.5000  0.5000  0.0000

Output
Uncorrected energy: -0.456 Ry per atom
Offset from the most stable computed form: 510.6 meV per atom
V: 95.5 Å³/f.u.
Fermi-level density of states: 7.7 states/eV/cell
Symmetry: I-42d



A relaxed Zr2NiCl crystal. Source: Alexandria via LeMat-Bulk, functional PBE.

Unit cell a=3.2702 b=3.2702 c=8.6633 alpha=90.00 beta=90.00 gamma=90.00
Element x y z (fractional)
Zr  0.0000  0.0000  0.0000
Zr  0.5000  0.5000  0.2522
Ni  0.5000  0.5000  0.8627
Cl  0.0000  0.0000  0.4447

Output
Uncorrected energy: -0.481 Ry per atom
Offset from the most stable computed form: 170.7 meV per atom
V: 92.6 Å³/f.u.
Fermi-level density of states: 3.2 states/eV/cell
Symmetry: P4mm